Version a
The following is a PBEsol calculation of a relaxed structure of ScNiIr, from Alexandria.

Output
Crystal system: orthorhombic
DOS(E_F): 7.94 states/eV per cell
SG: Imm2, No. 44

Cell: 2.8225 3.6762 8.4389 Å, 90.00 90.00 90.00°
Positions (direct):
Sc1 0.0000 0.0000 0.0000
Sc2 0.5000 0.5000 0.5000
Ni1 0.0000 0.0000 0.3152
Ni2 0.5000 0.5000 0.8152
Ir1 0.0000 0.0000 0.6779
Ir2 0.5000 0.5000 0.1779

---

Version b
The following is a PBEsol calculation of a relaxed structure of ScNiIr, from Alexandria.

Output
Crystal system: tetragonal
DOS(E_F): 10.41 states/eV per cell
SG: I4mm, No. 107

Cell: 3.1203 3.1203 8.9348 Å, 90.00 90.00 90.00°
Positions (direct):
Sc1 0.0000 0.0000 0.0000
Sc2 0.5000 0.5000 0.5000
Ni1 0.0000 0.0000 0.3322
Ni2 0.5000 0.5000 0.8322
Ir1 0.0000 0.0000 0.6751
Ir2 0.5000 0.5000 0.1751

---

version a is favored, and the nearest alternative lies 15 meV/atom above it.

---

Version a
The following is a PBEsol calculation of a relaxed structure of Ni2IrSe, from Alexandria.

Output
Crystal system: orthorhombic
DOS(E_F): 10.59 states/eV per cell
SG: Immm, No. 71

Cell: 2.8961 4.2902 8.2218 Å, 90.00 90.00 90.00°
Positions (direct):
Ni1 0.0000 0.0000 0.2261
Ni2 0.0000 0.0000 0.7739
Ni3 0.5000 0.5000 0.2739
Ni4 0.5000 0.5000 0.7261
Ir1 0.0000 0.5000 0.0000
Ir2 0.5000 0.0000 0.5000
Se1 0.0000 0.5000 0.5000
Se2 0.5000 0.0000 0.0000

---

Version b
The following is a PBEsol calculation of a relaxed structure of Ni2IrSe, from Alexandria.

Output
Crystal system: orthorhombic
DOS(E_F): 12.03 states/eV per cell
SG: Cmm2, No. 35

Cell: 2.7050 4.5735 8.7421 Å, 90.00 90.00 90.00°
Positions (direct):
Ni1 0.0000 0.0000 0.0000
Ni2 0.0000 0.5000 0.2250
Ni3 0.5000 0.0000 0.2250
Ni4 0.5000 0.5000 0.0000
Ir1 0.0000 0.5000 0.7619
Ir2 0.5000 0.0000 0.7619
Se1 0.0000 0.0000 0.4547
Se2 0.5000 0.5000 0.4547

---

Version c
The following is a PBEsol calculation of a relaxed structure of Ni2IrSe, from Alexandria.

Output
Crystal system: orthorhombic
DOS(E_F): 3.91 states/eV per cell
SG: Pmm2, No. 25

Cell: 2.8803 4.0723 4.3493 Å, 90.00 90.00 90.00°
Positions (direct):
Ni1 0.0000 0.0000 0.0000
Ni2 0.0000 0.5000 0.3182
Ir1 0.5000 0.0000 0.4921
Se1 0.5000 0.5000 0.8439

---

Version d
The following is a PBEsol calculation of a relaxed structure of Ni2IrSe, from Alexandria.

Output
Crystal system: tetragonal
DOS(E_F): 4.49 states/eV per cell
SG: P4mm, No. 99

Cell: 3.0738 3.0738 5.3698 Å, 90.00 90.00 90.00°
Positions (direct):
Ni1 0.0000 0.0000 0.0000
Ni2 0.5000 0.5000 0.2233
Ir1 0.5000 0.5000 0.7457
Se1 0.0000 0.0000 0.4435

---

version c is favored, and the nearest alternative lies 22 meV/atom above it.

---

Version a
The following is a PBEsol calculation of a relaxed structure of Tc2NiIr, from Alexandria.

Output
Crystal system: trigonal
DOS(E_F): 16.78 states/eV per cell
SG: R-3m, No. 166

Cell: 2.6589 2.6589 25.9061 Å, 90.00 90.00 120.00°
Positions (direct):
Tc1 0.0000 0.0000 0.2474
Tc2 0.0000 0.0000 0.7526
Tc3 0.3333 0.6667 0.4192
Tc4 0.3333 0.6667 0.9141
Tc5 0.6667 0.3333 0.0859
Tc6 0.6667 0.3333 0.5808
Ni1 0.0000 0.0000 0.5000
Ni2 0.3333 0.6667 0.1667
Ni3 0.6667 0.3333 0.8333
Ir1 0.0000 0.0000 0.0000
Ir2 0.3333 0.6667 0.6667
Ir3 0.6667 0.3333 0.3333

---

Version b
The following is a PBEsol calculation of a relaxed structure of Tc2NiIr, from Alexandria.

Output
Crystal system: orthorhombic
DOS(E_F): 2.48 states/eV per cell
SG: Pmm2, No. 25

Cell: 2.6688 4.2217 4.6481 Å, 90.00 90.00 90.00°
Positions (direct):
Tc1 0.0000 0.0000 0.0000
Tc2 0.0000 0.5000 0.3299
Ni1 0.5000 0.0000 0.4913
Ir1 0.5000 0.5000 0.8137

---

version b is favored, and the nearest alternative lies 198 meV/atom above it.

---

Version a
The following is a PBEsol calculation of a relaxed structure of TcNi2Ir, from Alexandria.

Output
Crystal system: orthorhombic
DOS(E_F): 3.70 states/eV per cell
SG: Pmm2, No. 25

Cell: 2.6418 3.6513 5.0881 Å, 90.00 90.00 90.00°
Positions (direct):
Tc1 0.0000 0.0000 0.0000
Ni1 0.0000 0.0000 0.5189
Ni2 0.5000 0.5000 0.7455
Ir1 0.5000 0.5000 0.2538

---

Version b
The following is a PBEsol calculation of a relaxed structure of TcNi2Ir, from Alexandria.

Output
Crystal system: tetragonal
DOS(E_F): 8.15 states/eV per cell
SG: I-4m2, No. 119

Cell: 3.6059 3.6059 7.4843 Å, 90.00 90.00 90.00°
Positions (direct):
Tc1 0.0000 0.0000 0.0000
Tc2 0.5000 0.5000 0.5000
Ni1 0.0000 0.0000 0.5000
Ni2 0.0000 0.5000 0.7500
Ni3 0.5000 0.0000 0.2500
Ni4 0.5000 0.5000 0.0000
Ir1 0.0000 0.5000 0.2500
Ir2 0.5000 0.0000 0.7500

---

version b is favored, and the nearest alternative lies 15 meV/atom above it.